A plane-wave DFT calculation with GGA-PBE was carried out for an optimized crystal structure of NaLi2CuCl4.

The structure in CIF format:
```
data_NaLi2CuCl4
_chemical_formula_sum 'Na2 Li4 Cu2 Cl8'
_cell_length_a 3.696
_cell_length_b 6.551
_cell_length_c 13.542
_cell_angle_alpha 90.00
_cell_angle_beta 90.00
_cell_angle_gamma 106.39
_symmetry_space_group_name_H-M 'P 1'
_symmetry_Int_Tables_number 1
_symmetry_space_group_name_Hall 'P 1'
loop_
_atom_site_label
_atom_site_type_symbol
_atom_site_fract_x
_atom_site_fract_y
_atom_site_fract_z
Cl1 Cl 0.741 0.483 0.885
Cl2 Cl 0.534 0.069 0.250
Cl3 Cl 0.466 0.931 0.750
Cl4 Cl 0.741 0.483 0.615
Cl5 Cl 0.000 0.000 0.000
Cl6 Cl 0.000 0.000 0.500
Cl7 Cl 0.259 0.517 0.385
Cl8 Cl 0.259 0.517 0.115
Cu1 Cu 0.857 0.713 0.750
Cu2 Cu 0.143 0.287 0.250
Li1 Li 0.625 0.251 0.043
Li2 Li 0.375 0.749 0.543
Li3 Li 0.625 0.251 0.457
Li4 Li 0.375 0.749 0.957
Na1 Na 0.136 0.271 0.750
Na2 Na 0.864 0.729 0.250
```

The value obtained for the uncorrected formation energy is -1.412 eV per atom. Its symmetry is Cmcm.

=====

A plane-wave DFT calculation with GGA-PBE was carried out for an optimized crystal structure of Al2PtAu2.

The structure in CIF format:
```
data_Al2PtAu2
_chemical_formula_sum 'Al4 Pt2 Au4'
_cell_length_a 6.852
_cell_length_b 6.852
_cell_length_c 3.554
_cell_angle_alpha 90.00
_cell_angle_beta 90.00
_cell_angle_gamma 90.00
_symmetry_space_group_name_H-M 'P 1'
_symmetry_Int_Tables_number 1
_symmetry_space_group_name_Hall 'P 1'
loop_
_atom_site_label
_atom_site_type_symbol
_atom_site_fract_x
_atom_site_fract_y
_atom_site_fract_z
Au1 Au 0.647 0.853 0.500
Au2 Au 0.147 0.647 0.500
Au3 Au 0.353 0.147 0.500
Au4 Au 0.853 0.353 0.500
Al1 Al 0.849 0.651 0.000
Al2 Al 0.651 0.151 0.000
Al3 Al 0.349 0.849 0.000
Al4 Al 0.151 0.349 0.000
Pt1 Pt 0.000 0.000 0.000
Pt2 Pt 0.500 0.500 0.000
```

As for the energy above the most stable polymorph in this dataset: 0.000 eV/atom. The value obtained for the formation enthalpy at 0 K is -0.369 eV per atom. Its symmetry is P4/mbm.

=====

A plane-wave DFT calculation with GGA-PBE was carried out for an optimized crystal structure of Na15Tl4Cd.

The structure in CIF format:
```
data_Na15Tl4Cd
_chemical_formula_sum 'Na15 Tl4 Cd1'
_cell_length_a 4.826
_cell_length_b 4.826
_cell_length_c 26.250
_cell_angle_alpha 90.00
_cell_angle_beta 90.00
_cell_angle_gamma 90.00
_symmetry_space_group_name_H-M 'P 1'
_symmetry_Int_Tables_number 1
_symmetry_space_group_name_Hall 'P 1'
loop_
_atom_site_label
_atom_site_type_symbol
_atom_site_fract_x
_atom_site_fract_y
_atom_site_fract_z
Na1 Na 0.500 0.500 0.000
Na2 Na 0.500 0.500 0.399
Na3 Na 0.000 0.500 0.098
Na4 Na 0.500 0.000 0.299
Na5 Na 0.500 0.000 0.701
Na6 Na 0.000 0.500 0.701
Na7 Na 0.500 0.500 0.601
Na8 Na 0.000 0.500 0.299
Na9 Na 0.500 0.500 0.802
Na10 Na 0.500 0.000 0.902
Na11 Na 0.500 0.500 0.198
Na12 Na 0.000 0.500 0.902
Na13 Na 0.500 0.000 0.500
Na14 Na 0.000 0.500 0.500
Na15 Na 0.500 0.000 0.098
Tl1 Tl 0.000 0.000 0.198
Tl2 Tl 0.000 0.000 0.399
Tl3 Tl 0.000 0.000 0.601
Tl4 Tl 0.000 0.000 0.802
Cd1 Cd 0.000 0.000 0.000
```

The value obtained for the formation enthalpy at 0 K is -0.063 eV per atom. Its symmetry is P4/mmm.

=====

A plane-wave DFT calculation with GGA-PBE was carried out for an optimized crystal structure of Ag3C.

The structure in CIF format:
```
data_Ag3C
_chemical_formula_sum 'Ag3 C1'
_cell_length_a 4.744
_cell_length_b 4.744
_cell_length_c 2.970
_cell_angle_alpha 90.00
_cell_angle_beta 90.00
_cell_angle_gamma 108.15
_symmetry_space_group_name_H-M 'P 1'
_symmetry_Int_Tables_number 1
_symmetry_space_group_name_Hall 'P 1'
loop_
_atom_site_label
_atom_site_type_symbol
_atom_site_fract_x
_atom_site_fract_y
_atom_site_fract_z
Ag1 Ag 0.500 0.500 0.000
Ag2 Ag 0.500 0.000 0.500
Ag3 Ag 0.000 0.500 0.500
C1 C 0.000 0.000 0.000
```

As for the energy above the most stable polymorph in this dataset: 0.826 eV/atom. The value obtained for the formation enthalpy at 0 K is 1.382 eV per atom. Its symmetry is Cmmm.

=====

A plane-wave DFT calculation with GGA-PBE was carried out for an optimized crystal structure of Sm2Dy3Er7.

The structure in CIF format:
```
data_Sm2Dy3Er7
_chemical_formula_sum 'Sm2 Dy3 Er7'
_cell_length_a 3.495
_cell_length_b 6.288
_cell_length_c 17.783
_cell_angle_alpha 75.60
_cell_angle_beta 90.00
_cell_angle_gamma 90.00
_symmetry_space_group_name_H-M 'P 1'
_symmetry_Int_Tables_number 1
_symmetry_space_group_name_Hall 'P 1'
loop_
_atom_site_label
_atom_site_type_symbol
_atom_site_fract_x
_atom_site_fract_y
_atom_site_fract_z
Er1 Er 0.500 0.244 0.501
Er2 Er 0.000 0.562 0.164
Er3 Er 0.500 0.756 0.499
Er4 Er 0.500 0.940 0.834
Er5 Er 0.000 0.438 0.836
Er6 Er 0.500 0.060 0.166
Er7 Er 0.000 0.000 0.000
Dy1 Dy 0.500 0.500 0.000
Dy2 Dy 0.000 0.109 0.342
Dy3 Dy 0.000 0.891 0.658
Sm1 Sm 0.500 0.613 0.326
Sm2 Sm 0.500 0.387 0.674
```

As for the energy above the most stable polymorph in this dataset: 0.000 eV/atom. The value obtained for the formation enthalpy at 0 K is 0.082 eV per atom. Its symmetry is P2/m.

=====

A plane-wave DFT calculation with GGA-PBE was carried out for an optimized crystal structure of TbPm8Sc4.

The structure in CIF format:
```
data_TbPm8Sc4
_chemical_formula_sum 'Tb1 Pm8 Sc4'
_cell_length_a 7.011
_cell_length_b 7.011
_cell_length_c 10.433
_cell_angle_alpha 90.00
_cell_angle_beta 109.63
_cell_angle_gamma 120.00
_symmetry_space_group_name_H-M 'P 1'
_symmetry_Int_Tables_number 1
_symmetry_space_group_name_Hall 'P 1'
loop_
_atom_site_label
_atom_site_type_symbol
_atom_site_fract_x
_atom_site_fract_y
_atom_site_fract_z
Sc1 Sc 0.500 0.500 0.000
Sc2 Sc 0.500 0.000 0.000
Sc3 Sc 0.000 0.500 0.000
Sc4 Sc 0.000 0.000 0.000
Pm1 Pm 0.495 0.247 0.276
Pm2 Pm 0.972 0.753 0.724
Pm3 Pm 0.972 0.219 0.724
Pm4 Pm 0.028 0.247 0.276
Pm5 Pm 0.577 0.788 0.365
Pm6 Pm 0.028 0.781 0.276
Pm7 Pm 0.505 0.753 0.724
Pm8 Pm 0.423 0.212 0.635
Tb1 Tb 0.000 0.500 0.500
```

The value obtained for the formation enthalpy at 0 K is 0.239 eV per atom. Its symmetry is R-3m.

=====

A plane-wave DFT calculation with GGA-PBE was carried out for an optimized crystal structure of EuZr2Tc.

The structure in CIF format:
```
data_EuZr2Tc
_chemical_formula_sum 'Eu1 Zr2 Tc1'
_cell_length_a 3.322
_cell_length_b 3.322
_cell_length_c 8.723
_cell_angle_alpha 90.00
_cell_angle_beta 90.00
_cell_angle_gamma 90.00
_symmetry_space_group_name_H-M 'P 1'
_symmetry_Int_Tables_number 1
_symmetry_space_group_name_Hall 'P 1'
loop_
_atom_site_label
_atom_site_type_symbol
_atom_site_fract_x
_atom_site_fract_y
_atom_site_fract_z
Tc1 Tc 0.500 0.500 0.000
Eu1 Eu 0.500 0.500 0.500
Zr1 Zr 0.000 0.000 0.178
Zr2 Zr 0.000 0.000 0.822
```

The value obtained for the formation enthalpy at 0 K is -0.031 eV per atom. Its symmetry is P4/mmm.

=====

A plane-wave DFT calculation with GGA-PBE was carried out for an optimized crystal structure of B5C7.

The structure in CIF format:
```
data_B5C7
_chemical_formula_sum 'B5 C7'
_cell_length_a 2.640
_cell_length_b 2.640
_cell_length_c 15.480
_cell_angle_alpha 90.00
_cell_angle_beta 90.00
_cell_angle_gamma 120.00
_symmetry_space_group_name_H-M 'P 1'
_symmetry_Int_Tables_number 1
_symmetry_space_group_name_Hall 'P 1'
loop_
_atom_site_label
_atom_site_type_symbol
_atom_site_fract_x
_atom_site_fract_y
_atom_site_fract_z
B1 B 0.000 0.000 0.916
B2 B 0.000 0.000 0.305
B3 B 0.000 0.000 0.499
B4 B 0.667 0.333 0.850
B5 B 0.333 0.667 0.740
C1 C 0.667 0.333 0.289
C2 C 0.000 0.000 0.018
C3 C 0.333 0.667 0.051
C4 C 0.667 0.333 0.184
C5 C 0.333 0.667 0.151
C6 C 0.333 0.667 0.498
C7 C 0.667 0.333 0.749
```

As for the energy above the most stable polymorph in this dataset: 0.086 eV/atom. The value obtained for the formation enthalpy at 0 K is 0.344 eV per atom. Its symmetry is P3m1.

=====

A plane-wave DFT calculation with GGA-PBE was carried out for an optimized crystal structure of CeNdAlCu.

The structure in CIF format:
```
data_CeNdAlCu
_chemical_formula_sum 'Ce1 Nd1 Al1 Cu1'
_cell_length_a 5.170
_cell_length_b 5.170
_cell_length_c 5.170
_cell_angle_alpha 60.00
_cell_angle_beta 60.00
_cell_angle_gamma 60.00
_symmetry_space_group_name_H-M 'P 1'
_symmetry_Int_Tables_number 1
_symmetry_space_group_name_Hall 'P 1'
loop_
_atom_site_label
_atom_site_type_symbol
_atom_site_fract_x
_atom_site_fract_y
_atom_site_fract_z
Nd1 Nd 0.500 0.500 0.500
Ce1 Ce 0.000 0.000 0.000
Cu1 Cu 0.250 0.250 0.250
Al1 Al 0.750 0.750 0.750
```

The value obtained for the formation enthalpy at 0 K is -0.130 eV per atom. Its symmetry is F-43m.

=====

A plane-wave DFT calculation with GGA-PBE was carried out for an optimized crystal structure of Ca2Ac3Al2Zn4.

The structure in CIF format:
```
data_Ca2Ac3Al2Zn4
_chemical_formula_sum 'Ca2 Ac3 Al2 Zn4'
_cell_length_a 4.758
_cell_length_b 4.758
_cell_length_c 16.589
_cell_angle_alpha 90.00
_cell_angle_beta 90.00
_cell_angle_gamma 120.00
_symmetry_space_group_name_H-M 'P 1'
_symmetry_Int_Tables_number 1
_symmetry_space_group_name_Hall 'P 1'
loop_
_atom_site_label
_atom_site_type_symbol
_atom_site_fract_x
_atom_site_fract_y
_atom_site_fract_z
Zn1 Zn 0.667 0.333 0.652
Zn2 Zn 0.333 0.667 0.884
Zn3 Zn 0.667 0.333 0.116
Zn4 Zn 0.333 0.667 0.348
Ca1 Ca 0.667 0.333 0.427
Ca2 Ca 0.333 0.667 0.573
Al1 Al 0.333 0.667 0.124
Al2 Al 0.667 0.333 0.876
Ac1 Ac 0.000 0.000 0.245
Ac2 Ac 0.000 0.000 0.755
Ac3 Ac 0.000 0.000 0.000
```

The value obtained for the formation enthalpy at 0 K is -0.184 eV per atom. Its symmetry is P-3m1.

=====

A plane-wave DFT calculation with GGA-PBE was carried out for an optimized crystal structure of Ba2CdRhN.

The structure in CIF format:
```
data_Ba2CdRhN
_chemical_formula_sum 'Ba2 Cd1 Rh1 N1'
_cell_length_a 5.924
_cell_length_b 5.924
_cell_length_c 3.854
_cell_angle_alpha 90.00
_cell_angle_beta 90.00
_cell_angle_gamma 90.00
_symmetry_space_group_name_H-M 'P 1'
_symmetry_Int_Tables_number 1
_symmetry_space_group_name_Hall 'P 1'
loop_
_atom_site_label
_atom_site_type_symbol
_atom_site_fract_x
_atom_site_fract_y
_atom_site_fract_z
Ba1 Ba 0.500 0.000 0.000
Ba2 Ba 0.000 0.500 0.000
Rh1 Rh 0.000 0.000 0.500
Cd1 Cd 0.500 0.500 0.500
N1 N 0.000 0.000 0.000
```

The value obtained for the uncorrected formation energy is -0.397 eV per atom. Its symmetry is P4/mmm.

=====

A plane-wave DFT calculation with GGA-PBE was carried out for an optimized crystal structure of Ca2CdIn9.

The structure in CIF format:
```
data_Ca2CdIn9
_chemical_formula_sum 'Ca2 Cd1 In9'
_cell_length_a 4.724
_cell_length_b 4.724
_cell_length_c 14.150
_cell_angle_alpha 90.00
_cell_angle_beta 90.00
_cell_angle_gamma 90.00
_symmetry_space_group_name_H-M 'P 1'
_symmetry_Int_Tables_number 1
_symmetry_space_group_name_Hall 'P 1'
loop_
_atom_site_label
_atom_site_type_symbol
_atom_site_fract_x
_atom_site_fract_y
_atom_site_fract_z
Ca1 Ca 0.000 0.000 0.332
Ca2 Ca 0.000 0.000 0.668
In1 In 0.500 0.500 0.342
In2 In 0.500 0.000 0.162
In3 In 0.000 0.500 0.838
In4 In 0.500 0.000 0.500
In5 In 0.500 0.000 0.838
In6 In 0.500 0.500 0.000
In7 In 0.000 0.500 0.162
In8 In 0.000 0.500 0.500
In9 In 0.500 0.500 0.658
Cd1 Cd 0.000 0.000 0.000
```

The value obtained for the formation enthalpy at 0 K is -0.196 eV per atom. Its symmetry is P4/mmm.

=====

Number 1: DOS(E_F) 0.000 states/eV/atom. Number 2: DOS(E_F) 0.141 states/eV/atom. Number 3: DOS(E_F) 0.507 states/eV/atom. Number 4: DOS(E_F) 0.514 states/eV/atom. Number 5: DOS(E_F) 1.452 states/eV/atom. Number 6: DOS(E_F) 1.179 states/eV/atom. Number 7: DOS(E_F) 1.110 states/eV/atom. Number 8: DOS(E_F) 0.242 states/eV/atom. Number 9: DOS(E_F) 2.423 states/eV/atom. Number 10: DOS(E_F) 0.974 states/eV/atom. Number 11: DOS(E_F) 0.330 states/eV/atom. Number 12: DOS(E_F) 0.495 states/eV/atom.